# Pr2Sb3Rh4Pb, relaxed, DFT GGA-PBE
# Formation energy without anion corrections   -708 meV/atom
# Total magnetization   0.00 μB per formula unit
# DOS(E_F)   8.0 states/eV/f.u.
data_Pr2Sb3Rh4Pb
_chemical_formula_sum 'Pr2 Sb3 Rh4 Pb1'
_cell_length_a 4.5264
_cell_length_b 4.5264
_cell_length_c 10.8236
_cell_angle_alpha 90.00
_cell_angle_beta 90.00
_cell_angle_gamma 90.00
_symmetry_space_group_name_H-M 'P -4 m 2'
_symmetry_Int_Tables_number 115
loop_
_symmetry_equiv_pos_as_xyz
'x,y,z'
'y,-x,-z'
'-x,-y,z'
'-y,x,-z'
'-x,y,z'
'-y,-x,-z'
'x,-y,z'
'y,x,-z'
loop_
_atom_site_label
_atom_site_type_symbol
_atom_site_fract_x
_atom_site_fract_y
_atom_site_fract_z
Pr1 Pr 0.0000 0.5000 0.2433
Sb1 Sb 0.0000 0.5000 0.8717
Sb2 Sb 0.5000 0.5000 0.5000
Rh1 Rh 0.0000 0.0000 0.0000
Rh2 Rh 0.0000 0.5000 0.6362
Rh3 Rh 0.5000 0.5000 0.0000
Pb1 Pb 0.0000 0.0000 0.5000